A plane-wave DFT calculation with PBE was carried out for an optimized crystal structure of Nd3Be2Si3.

Computed properties:
The calculation puts the total magnetization at 0.00 μB/f.u. The total energy is -5.3220 eV/atom. The calculation puts the uncorrected formation energy at -439 kJ/mol of formula units.

a b c (Å): 5.820 5.820 15.098
angles (deg): 90.00 90.00 140.46
Atoms (fractional coordinates):
Nd: 0.038 0.962 0.750
Nd: 0.347 0.653 0.592
Nd: 0.347 0.653 0.908
Nd: 0.653 0.347 0.092
Nd: 0.653 0.347 0.408
Nd: 0.962 0.038 0.250
Be: 0.366 0.634 0.119
Be: 0.366 0.634 0.381
Be: 0.634 0.366 0.619
Be: 0.634 0.366 0.881
Si: 0.074 0.926 0.558
Si: 0.074 0.926 0.942
Si: 0.245 0.755 0.250
Si: 0.755 0.245 0.750
Si: 0.926 0.074 0.058
Si: 0.926 0.074 0.442


A plane-wave DFT calculation with PBE was carried out for an optimized crystal structure of Te2IrI.

Computed properties:
The calculation puts the total magnetization at 0.00 μB/f.u. The total energy is -4.0614 eV/atom. The calculation puts the uncorrected formation energy at 43 kJ/mol of formula units.

a b c (Å): 7.678 5.035 12.752
angles (deg): 90.00 90.00 90.00
Atoms (fractional coordinates):
Te: 0.087 0.250 0.073
Te: 0.203 0.750 0.301
Te: 0.297 0.250 0.801
Te: 0.413 0.750 0.573
Te: 0.587 0.250 0.427
Te: 0.703 0.750 0.199
Te: 0.797 0.250 0.699
Te: 0.913 0.750 0.927
Ir: 0.017 0.750 0.130
Ir: 0.483 0.250 0.630
Ir: 0.517 0.750 0.370
Ir: 0.983 0.250 0.870
I: 0.049 0.250 0.399
I: 0.451 0.750 0.899
I: 0.549 0.250 0.101
I: 0.951 0.750 0.601


A plane-wave DFT calculation with PBE was carried out for an optimized crystal structure of ThB4Mo.

Computed properties:
The calculation puts the total magnetization at 0.00 μB/f.u. The total energy is -8.0736 eV/atom. The calculated formation energy comes out at -3.48 eV per formula unit.

a b c (Å): 6.109 6.109 3.781
angles (deg): 90.00 90.00 104.16
Atoms (fractional coordinates):
Th: 0.198 0.802 0.000
Th: 0.802 0.198 0.000
B: 0.123 0.435 0.500
B: 0.129 0.129 0.500
B: 0.410 0.590 0.500
B: 0.435 0.123 0.500
B: 0.565 0.877 0.500
B: 0.590 0.410 0.500
B: 0.871 0.871 0.500
B: 0.877 0.565 0.500
Mo: 0.329 0.329 0.000
Mo: 0.671 0.671 0.000


A plane-wave DFT calculation with PBE was carried out for an optimized crystal structure of SrMoHOs2.

Computed properties:
The calculation puts the total magnetization at 0.00 μB/f.u. The total energy is -5.8354 eV/atom.

a b c (Å): 4.615 4.615 6.401
angles (deg): 90.00 90.00 90.00
Atoms (fractional coordinates):
Sr: 0.000 0.000 0.000
Mo: 0.000 0.000 0.500
H: 0.500 0.500 0.000
Os: 0.000 0.500 0.500
Os: 0.500 0.000 0.500


A plane-wave DFT calculation with PBE was carried out for an optimized crystal structure of NaHf2Mg.

Computed properties:
The calculation puts the total magnetization at 0.00 μB/f.u. The total energy is -4.8106 eV/atom. The calculated formation energy comes out at 3.58 eV per formula unit.

a b c (Å): 6.444 6.444 6.444
angles (deg): 100.99 100.99 128.24
Atoms (fractional coordinates):
Na: 0.000 0.000 0.000
Na: 0.750 0.250 0.500
Hf: 0.124 0.125 0.499
Hf: 0.375 0.876 0.001
Hf: 0.626 0.625 0.501
Hf: 0.875 0.374 0.999
Mg: 0.250 0.750 0.500
Mg: 0.500 0.500 0.000


A plane-wave DFT calculation with PBE was carried out for an optimized crystal structure of Ce2HgAu.

Computed properties:
The calculation puts the total magnetization at 2.29 μB/f.u. The total energy is -4.2792 eV/atom. The calculated formation energy comes out at -1.67 eV per formula unit.

a b c (Å): 5.312 5.312 5.312
angles (deg): 60.00 60.00 60.00
Atoms (fractional coordinates):
Ce: 0.250 0.250 0.250
Ce: 0.750 0.750 0.750
Hg: 0.000 0.000 0.000
Au: 0.500 0.500 0.500


A plane-wave DFT calculation with PBE was carried out for an optimized crystal structure of PrAlGa.

Computed properties:
The calculation puts the total magnetization at 0.00 μB/f.u. The total energy is -4.4478 eV/atom. The calculated formation energy comes out at -1.79 eV per formula unit.

a b c (Å): 4.353 4.353 4.326
angles (deg): 90.00 90.00 120.00
Atoms (fractional coordinates):
Pr: 0.000 0.000 0.000
Al: 0.333 0.667 0.500
Ga: 0.667 0.333 0.500


A plane-wave DFT calculation with PBE was carried out for an optimized crystal structure of Li2Cu2Pt.

Computed properties:
The calculation puts the total magnetization at 0.00 μB/f.u. The total energy is -3.7428 eV/atom. The calculated formation energy comes out at -0.65 eV per formula unit.

a b c (Å): 6.710 6.710 2.890
angles (deg): 90.00 90.00 90.00
Atoms (fractional coordinates):
Li: 0.173 0.327 0.000
Li: 0.327 0.827 0.000
Li: 0.673 0.173 0.000
Li: 0.827 0.673 0.000
Cu: 0.128 0.628 0.500
Cu: 0.372 0.128 0.500
Cu: 0.628 0.872 0.500
Cu: 0.872 0.372 0.500
Pt: 0.000 0.000 0.500
Pt: 0.500 0.500 0.500


A plane-wave DFT calculation with PBE was carried out for an optimized crystal structure of Mg8In.

Computed properties:
The calculation puts the total magnetization at 0.00 μB/f.u. The total energy is -1.7504 eV/atom. The calculated formation energy comes out at -0.26 eV per formula unit.

a b c (Å): 7.102 7.102 7.102
angles (deg): 95.97 95.97 142.36
Atoms (fractional coordinates):
Mg: 0.000 0.332 0.332
Mg: 0.000 0.668 0.668
Mg: 0.332 0.000 0.332
Mg: 0.334 0.334 0.668
Mg: 0.334 0.666 0.000
Mg: 0.666 0.334 0.000
Mg: 0.666 0.666 0.332
Mg: 0.668 0.000 0.668
In: 0.000 0.000 0.000


A plane-wave DFT calculation with PBE was carried out for an optimized crystal structure of TbLuPb2.

Computed properties:
The calculation puts the total magnetization at 0.00 μB/f.u. The total energy is -4.5302 eV/atom. The calculated formation energy comes out at -1.55 eV per formula unit.

a b c (Å): 3.531 3.531 8.887
angles (deg): 90.00 90.00 90.00
Atoms (fractional coordinates):
Tb: 0.000 0.000 0.000
Lu: 0.000 0.000 0.500
Pb: 0.500 0.500 0.255
Pb: 0.500 0.500 0.745


A plane-wave DFT calculation with PBE was carried out for an optimized crystal structure of Cs3BaO.

Computed properties:
The calculation puts the total magnetization at 0.93 μB/f.u. The total energy is -2.1279 eV/atom. The calculation puts the uncorrected formation energy at -116 kJ/mol of formula units.

a b c (Å): 6.399 6.399 6.399
angles (deg): 90.00 90.00 90.00
Atoms (fractional coordinates):
Cs: 0.000 0.000 0.500
Cs: 0.000 0.500 0.000
Cs: 0.500 0.000 0.000
Ba: 0.500 0.500 0.500
O: 0.000 0.000 0.000


A plane-wave DFT calculation with PBE was carried out for an optimized crystal structure of CrAu.

Computed properties:
The calculation puts the total magnetization at 0.00 μB/f.u. The total energy is -6.2080 eV/atom. The calculated formation energy comes out at 0.48 eV per formula unit.

a b c (Å): 8.746 8.746 8.746
angles (deg): 18.96 18.96 18.96
Atoms (fractional coordinates):
Cr: 0.138 0.138 0.138
Cr: 0.862 0.862 0.862
Au: 0.382 0.382 0.382
Au: 0.618 0.618 0.618


A plane-wave DFT calculation with PBE was carried out for an optimized crystal structure of TmSc3Te3.

Computed properties:
The calculation puts the total magnetization at 0.90 μB/f.u. The total energy is -5.5850 eV/atom. The calculation puts the uncorrected formation energy at -599 kJ/mol of formula units.

a b c (Å): 7.605 7.605 7.605
angles (deg): 68.24 68.24 68.24
Atoms (fractional coordinates):
Tm: 0.168 0.168 0.168
Tm: 0.832 0.832 0.832
Sc: 0.182 0.670 0.427
Sc: 0.330 0.573 0.818
Sc: 0.427 0.182 0.670
Sc: 0.573 0.818 0.330
Sc: 0.670 0.427 0.182
Sc: 0.818 0.330 0.573
Te: 0.016 0.412 0.801
Te: 0.199 0.984 0.588
Te: 0.412 0.801 0.016
Te: 0.588 0.199 0.984
Te: 0.801 0.016 0.412
Te: 0.984 0.588 0.199


A plane-wave DFT calculation with PBE was carried out for an optimized crystal structure of SmLuMgCu.

Computed properties:
The calculation puts the total magnetization at 0.00 μB/f.u. The total energy is -3.7878 eV/atom. The calculated formation energy comes out at -0.22 eV per formula unit.

a b c (Å): 5.129 5.129 5.129
angles (deg): 60.00 60.00 60.00
Atoms (fractional coordinates):
Sm: 0.000 0.000 0.000
Lu: 0.500 0.500 0.500
Mg: 0.750 0.750 0.750
Cu: 0.250 0.250 0.250


A plane-wave DFT calculation with PBE was carried out for an optimized crystal structure of TiNi2As.

Computed properties:
The calculation puts the total magnetization at 0.00 μB/f.u. The total energy is -6.4868 eV/atom. The calculated formation energy comes out at -1.84 eV per formula unit.

a b c (Å): 3.699 3.699 3.791
angles (deg): 90.00 90.00 90.00
Atoms (fractional coordinates):
Ti: 0.000 0.000 0.000
Ni: 0.000 0.500 0.500
Ni: 0.500 0.000 0.500
As: 0.500 0.500 0.000


A plane-wave DFT calculation with PBE was carried out for an optimized crystal structure of La2CrSi.

Computed properties:
The calculation puts the total magnetization at 3.24 μB/f.u. The total energy is -6.4145 eV/atom. The calculation puts the uncorrected formation energy at -73 kJ/mol of formula units.

a b c (Å): 4.321 6.099 6.099
angles (deg): 41.56 90.00 90.00
Atoms (fractional coordinates):
La: 0.000 0.000 0.000
La: 0.500 0.281 0.281
Cr: 0.500 0.581 0.581
Si: 0.000 0.704 0.704


A plane-wave DFT calculation with PBE was carried out for an optimized crystal structure of Ga2HgI.

Computed properties:
The calculation puts the total magnetization at 0.00 μB/f.u. The total energy is -1.9525 eV/atom. The calculation puts the uncorrected formation energy at 9 kJ/mol of formula units.

a b c (Å): 5.360 5.360 3.931
angles (deg): 90.00 90.00 90.00
Atoms (fractional coordinates):
Ga: 0.000 0.500 0.000
Ga: 0.500 0.000 0.000
Hg: 0.000 0.000 0.500
I: 0.500 0.500 0.500